The following is a GGA+U calculation of crystalline KTlVF4 at its relaxed geometry, from Alexandria.

abc: 7.4739 7.4739 7.4739
angles: 147.16 147.16 47.13
With the nearest neighbours (Å) after each atom.
Fractional positions:
K: 0.0000 0.0000 0.0000  9 F 2.71-2.99
Tl: 0.7030 0.7030 0.0000  1 F 2.66
V: 0.3541 0.3541 0.0000  6 F 2.11-2.14
F: 0.1975 0.1975 0.0000  1 V 2.14
F: 0.3598 0.8598 0.5000  2 V 2.11
F: 0.5089 0.5089 0.0000  1 V 2.12
F: 0.8598 0.3598 0.5000  2 V 2.11

Results
Total DFT energy (no corrections): -5.095 eV/atom

The following is a GGA+U calculation of crystalline K4TlV3F12 at its relaxed geometry, from Alexandria.

abc: 7.6341 7.6341 7.6341
angles: 109.47 109.47 109.47
With the nearest neighbours (Å) after each atom.
Fractional positions:
K: 0.0000 0.0000 0.5000  12 F 3.12-3.13
K: 0.0000 0.5000 0.0000  12 F 3.12-3.13
K: 0.5000 0.0000 0.0000  12 F 3.12-3.13
K: 0.5000 0.5000 0.5000  12 F 3.12-3.13
Tl: 0.0000 0.0000 0.0000  6 F 2.46
V: 0.0000 0.5000 0.5000  2 F 1.94
V: 0.5000 0.0000 0.5000  2 F 1.94
V: 0.5000 0.5000 0.0000  2 F 1.94
F: 0.0000 0.2795 0.2795  1 V 1.94
F: 0.0000 0.7205 0.7205  1 V 1.94
F: 0.2500 0.5000 0.7500  2 V 2.20
F: 0.2500 0.7500 0.5000  2 V 2.20
F: 0.2795 0.0000 0.2795  1 V 1.94
F: 0.2795 0.2795 0.0000  1 V 1.94
F: 0.5000 0.2500 0.7500  2 V 2.20
F: 0.5000 0.7500 0.2500  2 V 2.20
F: 0.7205 0.0000 0.7205  1 V 1.94
F: 0.7205 0.7205 0.0000  1 V 1.94
F: 0.7500 0.2500 0.5000  2 V 2.20
F: 0.7500 0.5000 0.2500  2 V 2.20

Results
Total DFT energy (no corrections): -5.190 eV/atom

The following is a GGA+U calculation of crystalline KTl2V3F12 at its relaxed geometry, from Alexandria.

abc: 7.5119 7.5119 7.5119
angles: 61.30 61.30 61.30
With the nearest neighbours (Å) after each atom.
Fractional positions:
K: 0.0000 0.0000 0.0000  6 F 2.73
Tl: 0.3693 0.3693 0.3693  3 F 2.63
Tl: 0.6307 0.6307 0.6307  3 F 2.63
V: 0.0000 0.0000 0.5000  6 F 1.93-2.01
V: 0.0000 0.5000 0.0000  6 F 1.93-2.01
V: 0.5000 0.0000 0.0000  6 F 1.93-2.01
F: 0.0974 0.7225 0.7225  2 V 2.01
F: 0.1256 0.1256 0.5627  1 V 1.93
F: 0.1256 0.5627 0.1256  1 V 1.93
F: 0.2775 0.2775 0.9026  2 V 2.01
F: 0.2775 0.9026 0.2775  2 V 2.01
F: 0.4373 0.8744 0.8744  1 V 1.93
F: 0.5627 0.1256 0.1256  1 V 1.93
F: 0.7225 0.0974 0.7225  2 V 2.01
F: 0.7225 0.7225 0.0974  2 V 2.01
F: 0.8744 0.4373 0.8744  1 V 1.93
F: 0.8744 0.8744 0.4373  1 V 1.93
F: 0.9026 0.2775 0.2775  2 V 2.01

Results
Total DFT energy (no corrections): -5.505 eV/atom

The following is a GGA+U calculation of crystalline KTlVF6 at its relaxed geometry, from Alexandria.

abc: 4.8227 5.9083 5.9102
angles: 60.77 89.84 89.66
With the nearest neighbours (Å) after each atom.
Fractional positions:
K: 0.0000 0.0000 0.0000  12 F 2.95-3.16
Tl: 0.5967 0.6675 0.6750  12 F 2.97-3.18
V: 0.2987 0.3336 0.3364  6 F 1.86-1.91
F: 0.0731 0.4877 0.4791  1 V 1.86
F: 0.0863 0.0264 0.4825  1 V 1.89
F: 0.0864 0.4818 0.0243  1 V 1.91
F: 0.5093 0.1837 0.6503  1 V 1.91
F: 0.5093 0.6433 0.1888  1 V 1.90
F: 0.5234 0.1793 0.1920  1 V 1.86

Results
Total DFT energy (no corrections): -5.087 eV/atom

The following is a GGA+U calculation of crystalline KTl2WF6 at its relaxed geometry, from Alexandria.

abc: 6.4240 6.6504 11.2113
angles: 90.00 124.66 90.00
With the nearest neighbours (Å) after each atom.
Fractional positions:
K: 0.0000 0.0000 0.0000  6 F 2.63-2.67
K: 0.0000 0.5000 0.5000  6 F 2.63-2.67
Tl: 0.2370 0.0396 0.7453  5 F 2.76-3.08
Tl: 0.2370 0.4604 0.2453  5 F 2.76-3.08
Tl: 0.7630 0.5396 0.7547  5 F 2.76-3.08
Tl: 0.7630 0.9604 0.2547  5 F 2.76-3.08
W: 0.5000 0.0000 0.5000  6 F 2.13
W: 0.5000 0.5000 0.0000  6 F 2.13
F: 0.1918 0.1725 0.4662  1 W 2.13
F: 0.1918 0.3275 0.9662  1 W 2.13
F: 0.2716 0.7386 0.4455  1 W 2.13
F: 0.2716 0.7614 0.9455  1 W 2.13
F: 0.3672 0.0407 0.2788  1 W 2.13
F: 0.3672 0.4593 0.7788  1 W 2.13
F: 0.6328 0.5407 0.2212  1 W 2.13
F: 0.6328 0.9593 0.7212  1 W 2.13
F: 0.7284 0.2386 0.0545  1 W 2.13
F: 0.7284 0.2614 0.5545  1 W 2.13
F: 0.8082 0.6725 0.0338  1 W 2.13
F: 0.8082 0.8275 0.5338  1 W 2.13

Results
Total DFT energy (no corrections): -4.794 eV/atom

The following is a GGA+U calculation of crystalline K2TlWF8 at its relaxed geometry, from Alexandria.

abc: 4.4049 6.0130 8.0815
angles: 88.63 89.58 83.25
With the nearest neighbours (Å) after each atom.
Fractional positions:
K: 0.0098 0.0057 0.2543  6 F 2.63-2.74
K: 0.9902 0.9943 0.7457  6 F 2.63-2.74
Tl: 0.5000 0.5000 0.0000  2 F 2.33
W: 0.5000 0.5000 0.5000  6 F 1.99-2.08
F: 0.0315 0.7231 0.0074  1 Tl 2.33
F: 0.1051 0.6984 0.5062  1 W 1.99
F: 0.4065 0.2916 0.6865  1 W 2.01
F: 0.4225 0.3048 0.2996  1 W 2.08
F: 0.5775 0.6952 0.7004  1 W 2.08
F: 0.5935 0.7084 0.3135  1 W 2.01
F: 0.8949 0.3016 0.4938  1 W 1.99
F: 0.9685 0.2769 0.9926  1 Tl 2.33

Results
Total DFT energy (no corrections): -4.753 eV/atom

The following is a GGA+U calculation of crystalline KTl2WF8 at its relaxed geometry, from Alexandria.

abc: 4.8668 6.7435 8.1360
angles: 90.01 90.08 95.05
With the nearest neighbours (Å) after each atom.
Fractional positions:
K: 0.0000 0.0000 0.0000  2 F 2.59
Tl: 0.5001 0.5000 0.2349  2 F 2.46
Tl: 0.4999 0.5000 0.7651  2 F 2.46
W: 0.0000 0.0000 0.5000  6 F 1.91-1.96
F: 0.1101 0.8259 0.3230  1 W 1.96
F: 0.1105 0.8260 0.6770  1 W 1.96
F: 0.3440 0.1598 0.5000  1 W 1.91
F: 0.4065 0.2750 0.0000  2 Tl 2.46, 1 K 2.59
F: 0.5935 0.7250 0.0000  2 Tl 2.46, 1 K 2.59
F: 0.6560 0.8402 0.5000  1 W 1.91
F: 0.8895 0.1740 0.3230  1 W 1.96
F: 0.8899 0.1741 0.6770  1 W 1.96

Results
Total DFT energy (no corrections): -4.782 eV/atom

Which of these has the lowest total DFT energy (no corrections)?
KTl2V3F12